1) Entry from Alexandria via LeMat-Bulk: InGa3F after structural relaxation (GGA-PBE).

The structure in extended XYZ format:
```
5
Lattice="-1.0894 3.7891 -3.6453 3.6319 -2.1495 -3.3198 -3.8019 -3.1392 -2.1268" Properties=species:S:1:pos:R:3 pbc="T T T"
Ga -1.9010 -1.5696 -1.0634
F -0.6297 -0.7498 -4.5459
Ga -0.5447 1.8946 -1.8226
Ga 1.8160 -1.0748 -1.6599
In 0.0000 0.0000 0.0000
```

Symmetry = Pm-3m
ρ = 3679 kg/m3

=====

2) Entry from Alexandria via LeMat-Bulk: InGa3F after structural relaxation (GGA-PBE).

The structure in extended XYZ format:
```
5
Lattice="-1.0394 2.7052 3.7474 -4.2657 -2.0400 0.2894 1.7790 -3.3109 2.8835" Properties=species:S:1:pos:R:3 pbc="T T T"
In -1.7631 -1.3229 3.4602
Ga 0.8895 -1.6555 1.4417
F 0.0000 0.0000 0.0000
Ga -2.1329 -1.0200 0.1447
Ga -0.5197 1.3526 1.8737
```

Symmetry = Pm-3m
ρ = 5357 kg/m3

=====

So which one is most stable? That would be 2), about 516 meV per atom below the next structure.

=====

1) Entry from Alexandria via LeMat-Bulk: InGaN2F after structural relaxation (GGA-PBE).

The structure in extended XYZ format:
```
5
Lattice="4.3347 0.0000 0.0000 0.0000 4.3347 0.0000 0.0000 0.0000 4.3765" Properties=species:S:1:pos:R:3 pbc="T T T"
F 0.0000 0.0000 2.1882
In 0.0000 0.0000 0.0000
N 2.1673 0.0000 0.0000
N 0.0000 2.1673 0.0000
Ga 2.1673 2.1673 2.1882
```

Symmetry = P4/mmm
ρ = 4676 kg/m3

=====

2) Entry from Alexandria via LeMat-Bulk: InGaN2F after structural relaxation (GGA-PBE).

The structure in extended XYZ format:
```
5
Lattice="-0.2918 -3.9118 -0.5931 2.2247 -0.6540 3.2191 -3.2061 -0.0939 2.1966" Properties=species:S:1:pos:R:3 pbc="T T T"
F -1.6031 -0.0469 1.0983
In -0.6366 -2.3299 2.4113
N 1.1123 -0.3270 1.6095
N -0.1459 -1.9559 -0.2966
Ga 0.0000 0.0000 0.0000
```

Symmetry = P4/mmm
ρ = 6284 kg/m3

=====

So which one is most stable? That would be 2), about 434 meV per atom below the next structure.

=====

1) Entry from Alexandria via LeMat-Bulk: Na2InGaF6 after structural relaxation (GGA-PBE).

The structure in extended XYZ format:
```
10
Lattice="5.8088 0.0000 0.0018 2.9044 5.0296 0.0005 2.9050 1.6763 5.3594" Properties=species:S:1:pos:R:3 pbc="T T T"
F 5.0538 5.2487 1.0903
Na 2.9043 1.6762 5.2922
F 4.2915 3.1560 4.2302
In 8.7140 5.0294 3.3202
Ga 2.9043 1.6765 0.1085
F 4.5434 1.7512 1.0907
F 7.8291 3.0587 1.0927
F 6.7394 2.1374 4.2300
Na 5.8088 3.3530 2.2039
F 6.3980 4.7659 4.2303
```

Symmetry = R3
ρ = 3654 kg/m3

=====

2) Entry from Alexandria via LeMat-Bulk: Na2InGaF6 after structural relaxation (GGA-PBE).

The structure in extended XYZ format:
```
10
Lattice="4.2173 -2.5663 3.9391 -1.1132 -5.6627 2.5657 3.3816 -5.0128 -1.8231" Properties=species:S:1:pos:R:3 pbc="T T T"
F 1.1907 -6.1695 2.4468
F 3.7019 -4.7107 3.0938
Na 1.6214 -3.3104 1.1704
F 3.3082 -5.8633 0.3792
Ga 0.0000 0.0000 0.0000
F 5.2950 -7.0723 2.2349
F 2.7838 -8.5310 1.5879
F 3.1775 -7.3784 4.3025
Na 4.8643 -9.9313 3.5113
In 3.2429 -6.6209 2.3409
```

Symmetry = Fm-3m
ρ = 3211 kg/m3

=====

So which one is most stable? That would be 1), about 238 meV per atom below the next structure.

=====

1) Entry from Alexandria via LeMat-Bulk: InGaOF2 after structural relaxation (GGA-PBE).

The structure in extended XYZ format:
```
5
Lattice="-2.8487 -2.6251 -1.8818 1.1636 -3.1748 2.6672 -2.5538 1.0645 2.3812" Properties=species:S:1:pos:R:3 pbc="T T T"
F 0.5818 -1.5874 1.3336
F -1.4244 -1.3125 -0.9409
O -1.2769 0.5322 1.1906
Ga 0.0000 0.0000 0.0000
In -2.1195 -2.3677 1.5833
```

Symmetry = P4/mmm
ρ = 5850 kg/m3

=====

2) Entry from Alexandria via LeMat-Bulk: InGaOF2 after structural relaxation (GGA-PBE).

The structure in extended XYZ format:
```
5
Lattice="4.4015 0.0000 0.0000 0.0000 4.4015 0.0000 0.0000 0.0000 4.0575" Properties=species:S:1:pos:R:3 pbc="T T T"
F 0.0000 2.2008 0.0000
F 2.2008 0.0000 0.0000
O 0.0000 0.0000 2.0287
Ga 2.2008 2.2008 2.0287
In 0.0000 0.0000 0.0000
```

Symmetry = P4/mmm
ρ = 5039 kg/m3

=====

So which one is most stable? That would be 1), about 103 meV per atom below the next structure.

=====

1) Entry from Alexandria via LeMat-Bulk: GaIrF2 after structural relaxation (GGA-PBE).

The structure in extended XYZ format:
```
4
Lattice="1.6513 -7.4238 2.9558 3.8160 -6.0485 3.9281 1.4452 -6.0268 5.3072" Properties=species:S:1:pos:R:3 pbc="T T T"
Ga 3.4563 -9.7496 6.0956
Ir 0.0000 0.0000 0.0000
F 0.5753 -1.6229 1.0147
F 6.3372 -17.8763 11.1765
```

Symmetry = R-3m
ρ = 9551 kg/m3

=====

2) Entry from Alexandria via LeMat-Bulk: GaIrF2 after structural relaxation (GGA-PBE).

The structure in extended XYZ format:
```
4
Lattice="0.0000 2.9921 2.9921 2.9921 0.0000 2.9921 2.9921 2.9921 0.0000" Properties=species:S:1:pos:R:3 pbc="T T T"
F 1.4961 1.4961 1.4961
Ga 0.0000 0.0000 0.0000
F 4.4882 4.4882 4.4882
Ir 2.9921 2.9921 2.9921
```

Symmetry = Fm-3m
ρ = 9296 kg/m3

=====

3) Entry from Alexandria via LeMat-Bulk: GaIrF2 after structural relaxation (GGA-PBE).

The structure in extended XYZ format:
```
4
Lattice="1.5693 0.0000 8.2388 -0.7847 1.3591 8.2388 -0.7847 -1.3591 8.2388" Properties=species:S:1:pos:R:3 pbc="T T T"
Ga 0.0000 0.0000 0.0000
F 0.0000 0.0000 22.7738
Ir 0.0000 0.0000 12.3582
F 0.0000 0.0000 1.9426
```

Symmetry = R-3m
ρ = 9448 kg/m3

=====

So which one is most stable? That would be 1), about 376 meV per atom below the next structure.

=====

1) Entry from Alexandria via LeMat-Bulk: GaIrN2F after structural relaxation (GGA-PBE).

The structure in extended XYZ format:
```
5
Lattice="-1.6124 3.0825 -1.2785 -3.2713 -1.7406 -0.0710 -1.1927 1.9850 6.2901" Properties=species:S:1:pos:R:3 pbc="T T T"
Ir 0.0000 0.0000 0.0000
F -0.5963 0.9925 3.1451
N -1.6357 -0.8703 -0.0355
N -0.8062 1.5413 -0.6393
Ga -3.0382 1.6635 2.4703
```

Symmetry = P4/mmm
ρ = 5572 kg/m3

=====

2) Entry from Alexandria via LeMat-Bulk: GaIrN2F after structural relaxation (GGA-PBE).

The structure in extended XYZ format:
```
5
Lattice="3.9664 0.0000 0.0000 0.0000 3.9664 0.0000 0.0000 0.0000 3.6010" Properties=species:S:1:pos:R:3 pbc="T T T"
N 1.9832 0.0000 0.0000
Ir 1.9832 1.9832 1.8005
F 0.0000 0.0000 1.8005
N 0.0000 1.9832 0.0000
Ga 0.0000 0.0000 0.0000
```

Symmetry = P4/mmm
ρ = 9056 kg/m3

=====

So which one is most stable? That would be 1), about 783 meV per atom below the next structure.

=====

1) Entry from Alexandria via LeMat-Bulk: GaIrOF2 after structural relaxation (GGA-PBE).

The structure in extended XYZ format:
```
5
Lattice="4.0828 0.0000 0.0000 0.0000 4.0828 0.0000 0.0000 0.0000 3.7159" Properties=species:S:1:pos:R:3 pbc="T T T"
Ga 0.0000 0.0000 0.0000
O 0.0000 0.0000 1.8579
Ir 2.0414 2.0414 1.8579
F 2.0414 0.0000 0.0000
F 0.0000 2.0414 0.0000
```

Symmetry = P4/mmm
ρ = 8470 kg/m3

=====

2) Entry from Alexandria via LeMat-Bulk: GaIrOF2 after structural relaxation (GGA-PBE).

The structure in extended XYZ format:
```
5
Lattice="4.4882 0.0000 0.0000 0.0000 4.4882 0.0000 0.0000 0.0000 3.7589" Properties=species:S:1:pos:R:3 pbc="T T T"
Ir 0.0000 0.0000 0.0000
O 0.0000 0.0000 1.8794
F 2.2441 0.0000 0.0000
Ga 2.2441 2.2441 1.8794
F 0.0000 2.2441 0.0000
```

Symmetry = P4/mmm
ρ = 6929 kg/m3

=====

So which one is most stable? That would be 2), about 342 meV per atom below the next structure.

=====

1) Entry from Alexandria via LeMat-Bulk: KGaF3 after structural relaxation (GGA-PBE).

The structure in extended XYZ format:
```
5
Lattice="4.8418 0.0000 0.0000 0.0000 4.8418 0.0000 0.0000 0.0000 4.8418" Properties=species:S:1:pos:R:3 pbc="T T T"
F 2.4209 0.0000 0.0000
F 0.0000 2.4209 0.0000
F 0.0000 0.0000 2.4209
K 0.0000 0.0000 0.0000
Ga 2.4209 2.4209 2.4209
```

Symmetry = Pm-3m
ρ = 2426 kg/m3

=====

2) Entry from Alexandria via LeMat-Bulk: KGaF3 after structural relaxation (GGA-PBE).

The structure in extended XYZ format:
```
5
Lattice="-3.3983 -2.3147 -1.2246 1.1573 -3.1272 2.6995 -2.3491 1.8079 3.1015" Properties=species:S:1:pos:R:3 pbc="T T T"
F 0.5786 -1.5636 1.3497
Ga 0.0000 0.0000 0.0000
K -2.2951 -1.8170 2.2882
F -1.1745 0.9040 1.5507
F -1.6991 -1.1573 -0.6123
```

Symmetry = Pm-3m
ρ = 3487 kg/m3

=====

3) Entry from Alexandria via LeMat-Bulk: KGaF3 after structural relaxation (GGA-PBE).

The structure in extended XYZ format:
```
10
Lattice="-2.2339 1.8137 -3.3799 5.4120 2.2684 -3.2437 0.2814 -7.6142 0.7924" Properties=species:S:1:pos:R:3 pbc="T T T"
F 2.5850 2.8339 -4.6903
K -0.0275 1.9104 -4.4420
F -0.7851 -3.9545 -1.6835
F 1.6600 -5.1156 -1.1082
F -0.3827 -0.5951 -0.8715
K 2.0371 -2.3775 -4.7357
F 2.4764 0.2024 -3.9616
Ga 3.5077 1.2733 -5.0827
F 1.7668 -2.4835 -1.8347
Ga 0.7359 -3.5561 -0.7144
```

Symmetry = P-1
ρ = 3007 kg/m3

=====

So which one is most stable? That would be 3), about 198 meV per atom below the next structure.

=====

1) Entry from Alexandria via LeMat-Bulk: KNa2GaF6 after structural relaxation (GGA-PBE).

The structure in extended XYZ format:
```
10
Lattice="5.8005 0.0003 0.0011 2.9005 5.0214 0.0002 2.9011 1.6739 5.1662" Properties=species:S:1:pos:R:3 pbc="T T T"
F 4.5383 1.6435 1.1572
K 8.7014 5.0214 2.9975
F 4.9550 5.2917 1.1569
F 4.2903 3.2091 4.0832
F 6.4367 4.7260 4.0830
Na 2.9008 1.6742 4.9263
Na 5.8012 3.3479 2.1352
F 7.9084 3.1084 1.1580
F 6.6777 2.1083 4.0833
Ga 2.9003 1.6738 0.1351
```

Symmetry = R3
ρ = 2967 kg/m3

=====

2) Entry from Alexandria via LeMat-Bulk: KNa2GaF6 after structural relaxation (GGA-PBE).

The structure in extended XYZ format:
```
10
Lattice="0.0000 4.3639 4.3639 4.3639 0.0000 4.3639 4.3639 4.3639 0.0000" Properties=species:S:1:pos:R:3 pbc="T T T"
F 4.3639 4.3639 6.8147
F 4.3639 6.8147 4.3639
K 4.3639 4.3639 4.3639
F 6.8147 4.3639 4.3639
F 4.3639 4.3639 1.9131
Na 6.5458 6.5458 6.5458
Ga 0.0000 0.0000 0.0000
Na 2.1819 2.1819 2.1819
F 1.9131 4.3639 4.3639
F 4.3639 1.9131 4.3639
```

Symmetry = Fm-3m
ρ = 2685 kg/m3

=====

So which one is most stable? That would be 1), about 145 meV per atom below the next structure.

=====

1) Entry from Alexandria via LeMat-Bulk: KGaOF2 after structural relaxation (GGA-PBE).

The structure in extended XYZ format:
```
5
Lattice="4.8350 0.0000 0.0000 0.0000 4.8350 0.0000 0.0000 0.0000 4.8967" Properties=species:S:1:pos:R:3 pbc="T T T"
K 0.0000 0.0000 0.0000
F 2.4175 0.0000 0.0000
Ga 2.4175 2.4175 2.4483
F 0.0000 2.4175 0.0000
O 0.0000 0.0000 2.4483
```

Symmetry = P4/mmm
ρ = 2362 kg/m3

=====

2) Entry from Alexandria via LeMat-Bulk: KGaOF2 after structural relaxation (GGA-PBE).

The structure in extended XYZ format:
```
5
Lattice="4.2331 0.0000 0.0000 0.0000 4.2331 0.0000 0.0000 0.0000 3.6295" Properties=species:S:1:pos:R:3 pbc="T T T"
Ga 0.0000 0.0000 0.0000
K 2.1166 2.1166 1.8147
F 0.0000 2.1166 0.0000
O 0.0000 0.0000 1.8147
F 2.1166 0.0000 0.0000
```

Symmetry = P4/mmm
ρ = 4157 kg/m3

=====

So which one is most stable? That would be 2), about 1684 meV per atom below the next structure.

=====

1) Entry from Alexandria via LeMat-Bulk: LaGaF3 after structural relaxation (GGA-PBE).

The structure in extended XYZ format:
```
5
Lattice="-1.6461 -0.0619 4.4457 -1.7024 -4.3706 -0.6912 4.1073 -1.8363 1.4952" Properties=species:S:1:pos:R:3 pbc="T T T"
F -0.8512 -2.1853 -0.3456
F 2.0537 -0.9182 0.7476
F -0.8230 -0.0309 2.2229
La 0.0000 0.0000 0.0000
Ga 0.3794 -3.1344 2.6249
```

Symmetry = Pm-3m
ρ = 4139 kg/m3

=====

2) Entry from Alexandria via LeMat-Bulk: LaGaF3 after structural relaxation (GGA-PBE).

The structure in extended XYZ format:
```
5
Lattice="-3.6502 1.3201 2.1419 -2.4300 -2.8282 -2.3981 0.6523 -3.1485 3.0522" Properties=species:S:1:pos:R:3 pbc="T T T"
F -1.8251 0.6601 1.0709
La -2.7139 -2.3282 1.3980
F -1.2150 -1.4141 -1.1990
F 0.3261 -1.5742 1.5261
Ga 0.0000 0.0000 0.0000
```

Symmetry = Pm-3m
ρ = 5062 kg/m3

=====

So which one is most stable? That would be 1), about 719 meV per atom below the next structure.

=====

1) Entry from Alexandria via LeMat-Bulk: LaGaOF2 after structural relaxation (GGA-PBE).

The structure in extended XYZ format:
```
5
Lattice="-2.8352 2.3857 -2.4396 -0.4089 -3.3865 -2.8364 -3.0111 -1.4113 2.1192" Properties=species:S:1:pos:R:3 pbc="T T T"
La -3.1276 -1.2061 -1.5784
O -1.5055 -0.7057 1.0596
Ga 0.0000 0.0000 0.0000
F -1.4176 1.1928 -1.2198
F -0.2045 -1.6933 -1.4182
```

Symmetry = P4/mmm
ρ = 5619 kg/m3

=====

2) Entry from Alexandria via LeMat-Bulk: LaGaOF2 after structural relaxation (GGA-PBE).

The structure in extended XYZ format:
```
5
Lattice="4.7602 0.0000 0.0000 0.0000 4.7602 0.0000 0.0000 0.0000 4.5957" Properties=species:S:1:pos:R:3 pbc="T T T"
La 0.0000 0.0000 0.0000
F 2.3801 0.0000 0.0000
O 0.0000 0.0000 2.2978
F 0.0000 2.3801 0.0000
Ga 2.3801 2.3801 2.2978
```

Symmetry = P4/mmm
ρ = 4188 kg/m3

=====

So which one is most stable? That would be 2), about 547 meV per atom below the next structure.

=====

1) Entry from Alexandria via LeMat-Bulk: LiGa2F after structural relaxation (GGA-PBE).

The structure in extended XYZ format:
```
4
Lattice="-3.0890 -2.1940 2.5632 -4.0643 1.9269 0.8332 -3.7792 -1.7057 -1.9324" Properties=species:S:1:pos:R:3 pbc="T T T"
F -5.4662 -0.9864 0.7320
Ga -8.1994 -1.4796 1.0980
Ga -2.7331 -0.4932 0.3660
Li 0.0000 0.0000 0.0000
```

Symmetry = Fm-3m
ρ = 4057 kg/m3

=====

2) Entry from Alexandria via LeMat-Bulk: LiGa2F after structural relaxation (GGA-PBE).

The structure in extended XYZ format:
```
8
Lattice="10.0785 0.0000 0.0000 0.0000 10.0785 0.0000 5.0393 5.0393 1.6577" Properties=species:S:1:pos:R:3 pbc="T T T"
F 0.0000 0.0000 0.0000
Ga 7.5589 6.2016 1.2433
Li 5.0393 10.0785 0.8289
Li 5.0393 5.0393 0.0000
Ga 11.2409 7.5589 0.4144
Ga 8.9162 2.5196 0.4144
F 10.0785 5.0393 0.8289
Ga 12.5982 3.8769 1.2433
```

Symmetry = I-42d
ρ = 3262 kg/m3

=====

So which one is most stable? That would be 2), about 362 meV per atom below the next structure.